# 1
Compound: NaTcHgF6
Source: Alexandria via LeMat-Bulk
Functional: GGA-PBE
Structure: relaxed

Structure (POSCAR):
```
NaTcHgF6
1.0
5.906 0.000 0.000
-2.953 5.115 0.000
0.000 0.000 10.476
F Tc Hg Na
12 2 2 2
Cartesian
-0.724 4.867 6.759
3.853 3.060 3.717
0.724 4.867 8.956
2.229 0.248 1.521
4.577 1.806 1.521
-0.899 2.055 6.759
1.330 1.806 3.717
1.623 3.309 6.759
3.677 0.248 3.717
-1.623 3.309 8.956
2.054 3.060 1.521
0.899 2.055 8.956
0.000 3.410 7.857
2.953 1.705 2.619
0.000 0.000 0.000
0.000 0.000 5.238
0.000 3.410 2.619
2.953 1.705 7.857
```

---

# 2
Compound: Na2TiHgF6
Source: Alexandria via LeMat-Bulk
Functional: GGA-PBE
Structure: relaxed

Structure (POSCAR):
```
Na2TiHgF6
1.0
3.441 5.243 2.217
-1.811 3.022 5.642
3.787 -0.566 5.439
F Na Hg Ti
6 2 1 1
Cartesian
5.413 4.345 7.252
3.354 1.207 5.925
3.147 4.684 3.997
2.063 6.492 7.373
0.004 3.354 6.047
2.270 3.016 9.302
4.063 5.774 9.974
1.354 1.925 3.325
2.708 3.850 6.649
0.000 0.000 0.000
```

---

# 3
Compound: NaTiHg2F
Source: Alexandria via LeMat-Bulk
Functional: GGA-PBE
Structure: relaxed

Structure (POSCAR):
```
NaTiHg2F
1.0
-3.226 -1.435 -4.412
3.170 -0.227 -2.244
0.570 -5.455 1.358
Na Ti F Hg
1 1 1 2
Cartesian
0.257 -3.559 -2.649
1.585 -0.113 -1.122
0.000 0.000 0.000
0.285 -2.728 0.679
-1.613 -0.718 -2.206
```

---

# 4
Compound: NaTi2HgF
Source: Alexandria via LeMat-Bulk
Functional: GGA-PBE
Structure: relaxed

Structure (POSCAR):
```
NaTi2HgF
1.0
5.318 0.000 0.000
0.000 3.797 0.000
0.000 0.000 5.318
Na Hg F Ti
1 1 1 2
Cartesian
0.000 0.000 0.000
2.659 1.899 2.659
0.000 1.899 0.000
2.659 0.000 0.000
0.000 0.000 2.659
```

---

# 5
Compound: NaTiHgF6
Source: Alexandria via LeMat-Bulk
Functional: GGA-PBE
Structure: relaxed

Structure (POSCAR):
```
NaTiHgF6
1.0
5.813 0.000 0.000
-2.906 5.034 0.000
0.000 0.000 10.324
Hg F Na Ti
2 12 2 2
Cartesian
0.000 0.000 5.162
0.000 0.000 0.000
-1.567 3.272 8.813
0.710 4.755 8.813
3.617 0.279 3.652
4.473 1.762 1.510
1.567 3.272 6.672
-0.710 4.755 6.672
-0.856 2.041 6.672
2.196 0.279 1.510
3.763 2.993 3.652
1.340 1.762 3.652
2.050 2.993 1.510
0.856 2.041 8.813
0.000 3.356 2.581
2.906 1.678 7.743
0.000 3.356 7.743
2.906 1.678 2.581
```

---

# 6
Compound: Na3Tl3HgF8
Source: Alexandria via LeMat-Bulk
Functional: GGA-PBE
Structure: relaxed

Structure (POSCAR):
```
Na3Tl3HgF8
1.0
7.099 0.000 0.000
-3.550 6.148 -0.021
0.000 -4.078 6.350
Tl F Na Hg
3 8 3 1
Cartesian
0.000 0.000 0.000
1.775 3.074 -0.011
-1.775 3.074 -0.011
3.549 0.015 4.432
1.814 3.112 4.394
1.735 -1.042 1.934
3.549 2.101 1.923
-1.814 3.112 4.394
0.000 2.056 1.897
5.363 -1.042 1.934
0.000 -0.030 4.405
-1.775 1.035 3.164
1.775 1.035 3.164
3.549 -2.039 3.175
0.000 -2.039 3.175
```

---

Number 1: E_form (uncorrected) -2.029 eV/atom. Number 2: E_form (uncorrected) -2.592 eV/atom. Number 3: E_form (uncorrected) -0.550 eV/atom. Number 4: E_form (uncorrected) 0.390 eV/atom. Number 5: E_form (uncorrected) -2.711 eV/atom. Number 6: E_form (uncorrected) -2.055 eV/atom.